An optimized crystal structure of Rb3ScCu. Source: Alexandria via LeMat-Bulk, functional PBE.

Unit cell a=6.607 b=6.607 c=6.607 alpha=90.00 beta=90.00 gamma=90.00
Last column: magnetic moment on the atom in μB.
Positions (direct):
Rb1 0.500 0.000 0.000  0.01
Rb2 0.000 0.000 0.500  0.02
Rb3 0.000 0.500 0.000  0.01
Cu1 0.000 0.000 0.000  0.01
Sc1 0.500 0.500 0.500  0.98

Results
Relative energy among the computed polymorphs, eV per formula unit: 0.000
Spin magnetization, μB/f.u.: 2.235
Raw total energy, Ry/atom: -0.1393
Calculated formation energy, eV/atom: 0.77